(1)
This record from Alexandria describes an optimized crystal structure of Ho3HgPt2. The functional is PBE-GGA.

Unit cell a=3.5110 b=5.0707 c=7.9407 alpha=108.62 beta=90.00 gamma=90.00
Atoms (fractional coordinates):
Ho 0.5000 0.8236 0.6472
Ho 0.5000 0.5000 0.0000
Ho 0.5000 0.1764 0.3528
Hg 0.0000 0.0000 0.0000
Pt 0.0000 0.6603 0.3205
Pt 0.0000 0.3397 0.6795

Summary:
- Space group: No. 65
- Theoretical density: 13.46 g/cm³
- DOS at the Fermi energy: 3.9 states/eV/f.u.
- Energy of formation: -0.98 eV per atom
- E: -32.0 eV for the cell shown
- Crystal system: orthorhombic
- Magnetic moment: 0.000 μB per atom


(2)
This record from Alexandria describes an optimized crystal structure of Ho4HgPt. The functional is PBE-GGA.

Unit cell a=6.9982 b=7.0687 c=7.2017 alpha=90.00 beta=92.92 gamma=90.00
Atoms (fractional coordinates):
Hg 0.5000 0.5000 0.0000
Hg 0.0000 0.0000 0.0000
Ho 0.8260 0.1593 0.3541
Ho 0.3260 0.3407 0.3541
Ho 0.6740 0.6593 0.6459
Ho 0.1740 0.8407 0.6459
Ho 0.3704 0.8523 0.1714
Ho 0.8704 0.6477 0.1714
Ho 0.1296 0.3523 0.8286
Ho 0.6296 0.1477 0.8286
Pt 0.5000 0.0000 0.5000
Pt 0.0000 0.5000 0.5000

Summary:
- Space group: No. 14
- Theoretical density: 9.85 g/cm³
- DOS at the Fermi energy: 7.8 states/eV/f.u.
- Energy of formation: -0.47 eV per atom
- E: -55.0 eV for the cell shown
- Crystal system: monoclinic
- Magnetic moment: 0.000 μB per atom
- Distance to the lowest polymorph of the same formula: 202 meV/atom


(3)
This record from Alexandria describes an optimized crystal structure of Ho5Hg4Pt. The functional is PBE-GGA.

Unit cell a=3.6388 b=3.6388 c=18.4973 alpha=90.00 beta=90.00 gamma=90.00
Atoms (fractional coordinates):
Ho 0.5000 0.5000 0.7060
Ho 0.5000 0.5000 0.5000
Ho 0.5000 0.5000 0.2940
Ho 0.5000 0.5000 0.9123
Ho 0.5000 0.5000 0.0877
Hg 0.0000 0.0000 0.8047
Hg 0.0000 0.0000 0.1953
Hg 0.0000 0.0000 0.3975
Hg 0.0000 0.0000 0.6025
Pt 0.0000 0.0000 0.0000

Summary:
- Space group: No. 123
- Theoretical density: 12.35 g/cm³
- DOS at the Fermi energy: 7.4 states/eV/f.u.
- Energy of formation: -0.64 eV per atom
- E: -36.5 eV for the cell shown
- Crystal system: tetragonal
- Magnetic moment: 0.000 μB per atom


(4)
This record from Alexandria describes an optimized crystal structure of Ho12Hg5Pt2. The functional is PBE-GGA.

Unit cell a=7.8258 b=8.9865 c=8.8149 alpha=104.84 beta=90.00 gamma=115.81
Atoms (fractional coordinates):
Pt 0.7947 0.0000 0.0000
Pt 0.2053 0.0000 0.0000
Ho 0.0878 0.6481 0.8287
Ho 0.5136 0.0272 0.8161
Ho 0.8234 0.2381 0.5477
Ho 0.5603 0.6481 0.8287
Ho 0.4864 0.9728 0.1839
Ho 0.9021 0.8042 0.1592
Ho 0.1766 0.7619 0.4523
Ho 0.0979 0.1958 0.8408
Ho 0.4147 0.2381 0.5477
Ho 0.9122 0.3519 0.1713
Ho 0.5853 0.7619 0.4523
Ho 0.4397 0.3519 0.1713
Hg 0.2963 0.5926 0.1086
Hg 0.7623 0.5245 0.4611
Hg 0.0000 0.0000 0.5000
Hg 0.7037 0.4074 0.8914
Hg 0.2377 0.4755 0.5389

Summary:
- Space group: No. 12
- Theoretical density: 10.47 g/cm³
- DOS at the Fermi energy: 15.9 states/eV/f.u.
- Energy of formation: -0.40 eV per atom
- E: -76.1 eV for the cell shown
- Crystal system: monoclinic
- Magnetic moment: 0.000 μB per atom


(5)
This record from Alexandria describes an optimized crystal structure of Ho4Hg5Pt2. The functional is PBE-GGA.

Unit cell a=3.5803 b=7.6625 c=9.6789 alpha=94.09 beta=90.00 gamma=90.00
Atoms (fractional coordinates):
Ho 0.5000 0.7770 0.5604
Ho 0.5000 0.8214 0.1472
Ho 0.5000 0.2230 0.4396
Ho 0.5000 0.1786 0.8528
Hg 0.0000 0.8299 0.8604
Hg 0.0000 0.5000 0.0000
Hg 0.0000 0.5395 0.3288
Hg 0.0000 0.1701 0.1396
Hg 0.0000 0.4605 0.6712
Pt 0.0000 0.0747 0.6387
Pt 0.0000 0.9253 0.3613

Summary:
- Space group: No. 10
- Theoretical density: 12.87 g/cm³
- DOS at the Fermi energy: 7.1 states/eV/f.u.
- Energy of formation: -0.70 eV per atom
- E: -39.6 eV for the cell shown
- Crystal system: monoclinic
- Magnetic moment: 0.000 μB per atom


(6)
This record from Alexandria describes an optimized crystal structure of Ho6Hg2Pt. The functional is PBE-GGA.

Unit cell a=6.8269 b=7.4435 c=10.2043 alpha=90.00 beta=89.97 gamma=90.00
Atoms (fractional coordinates):
Ho 0.6648 0.1958 0.5526
Ho 0.6832 0.1803 0.9433
Ho 0.1271 0.0182 0.7578
Ho 0.1648 0.3042 0.0526
Ho 0.6271 0.4818 0.2578
Ho 0.8729 0.9818 0.2422
Ho 0.8352 0.6958 0.9474
Ho 0.3729 0.5182 0.7422
Ho 0.3352 0.8042 0.4474
Ho 0.3168 0.8197 0.0567
Ho 0.8168 0.6803 0.5567
Ho 0.1832 0.3197 0.4433
Pt 0.5000 0.5000 0.0000
Pt 0.0000 0.0000 0.5000
Hg 0.0501 0.6006 0.2471
Hg 0.9499 0.3994 0.7529
Hg 0.5501 0.8994 0.7471
Hg 0.4499 0.1006 0.2529

Summary:
- Space group: No. 14
- Theoretical density: 10.16 g/cm³
- DOS at the Fermi energy: 8.5 states/eV/f.u.
- Energy of formation: -0.43 eV per atom
- E: -75.9 eV for the cell shown
- Crystal system: monoclinic
- Magnetic moment: 0.000 μB per atom


(7)
This record from Alexandria describes an optimized crystal structure of Ho4HgPt3. The functional is PBE-GGA.

Unit cell a=5.0016 b=5.0016 c=8.6304 alpha=73.16 beta=73.16 gamma=60.00
Atoms (fractional coordinates):
Pt 0.7452 0.7452 0.7643
Pt 0.5000 0.5000 0.5000
Pt 0.2548 0.2548 0.2357
Ho 0.8704 0.8704 0.3887
Ho 0.1296 0.1296 0.6113
Ho 0.3801 0.3801 0.8598
Ho 0.6199 0.6199 0.1402
Hg 0.0000 0.0000 0.0000

Summary:
- Space group: No. 166
- Theoretical density: 13.62 g/cm³
- DOS at the Fermi energy: 5.0 states/eV/f.u.
- Energy of formation: -1.05 eV per atom
- E: -45.1 eV for the cell shown
- Crystal system: trigonal
- Magnetic moment: 0.000 μB per atom


(8)
This record from Alexandria describes an optimized crystal structure of Ho11Hg9Pt4. The functional is PBE-GGA.

Unit cell a=3.6372 b=13.1139 c=13.1139 alpha=113.15 beta=90.00 gamma=90.00
Atoms (fractional coordinates):
Pt 0.5000 0.4487 0.2506
Pt 0.5000 0.7494 0.5513
Pt 0.5000 0.2506 0.4487
Pt 0.5000 0.5513 0.7494
Ho 0.0000 0.1660 0.8340
Ho 0.0000 0.4146 0.0768
Ho 0.0000 0.6295 0.3705
Ho 0.0000 0.7001 0.7001
Ho 0.0000 0.9232 0.5854
Ho 0.0000 0.0768 0.4146
Ho 0.0000 0.8340 0.1660
Ho 0.0000 0.0000 0.0000
Ho 0.0000 0.2999 0.2999
Ho 0.0000 0.3705 0.6295
Ho 0.0000 0.5854 0.9232
Hg 0.5000 0.2108 0.0615
Hg 0.5000 0.0615 0.2108
Hg 0.5000 0.7892 0.9385
Hg 0.5000 0.5000 0.5000
Hg 0.5000 0.9385 0.7892
Hg 0.5000 0.3674 0.8501
Hg 0.5000 0.1499 0.6326
Hg 0.5000 0.6326 0.1499
Hg 0.5000 0.8501 0.3674

Summary:
- Space group: No. 65
- Theoretical density: 12.70 g/cm³
- DOS at the Fermi energy: 18.0 states/eV/f.u.
- Energy of formation: -0.76 eV per atom
- E: -95.5 eV for the cell shown
- Crystal system: orthorhombic
- Magnetic moment: 0.000 μB per atom